BaNp2CrO8: relaxed, GGA+U.

Output
Raw total energy in eV per atom: -8.809

The structure in POSCAR format:
```
BaNp2CrO8
1.0
-4.5523 0.5157 2.1437
1.5251 -1.7478 4.4996
1.6111 6.5836 2.1744
O Cr Np Ba
8 1 2 1
direct
0.6954 0.6958 0.0038 O
0.7914 0.2124 0.7995 O
0.2086 0.7876 0.2005 O
0.2115 0.7907 0.7997 O
0.3046 0.3042 0.9962 O
0.6590 0.6602 0.5274 O
0.3410 0.3398 0.4726 O
0.7885 0.2093 0.2003 O
0.0000 0.0000 0.0000 Cr
0.4934 0.4935 0.7657 Np
0.5066 0.5065 0.2343 Np
0.0000 0.0000 0.5000 Ba
```